Entry 1:
Here is a geometry-optimized Tm3Zn4Cu2 structure from Alexandria. Energies are from GGA-PBE.

abc: 4.6208 5.0521 8.2418
angles: 98.18 90.00 117.21
With the nearest neighbours (Å) after each atom.
Fractional positions:
Tm: 0.6188 0.2376 0.7134  6 Zn 2.93-3.18, 4 Cu 2.95
Tm: 0.0000 0.0000 0.0000  8 Zn 2.91-3.10
Tm: 0.3812 0.7624 0.2866  6 Zn 2.93-3.18, 4 Cu 2.95
Zn: 0.6950 0.3900 0.0814  1 Cu 2.48
Zn: 0.3050 0.6100 0.9186  1 Cu 2.48
Zn: 0.9232 0.8463 0.6192  3 Cu 2.49-2.60, 1 Zn 2.58
Zn: 0.0768 0.1537 0.3808  3 Cu 2.49-2.60, 1 Zn 2.58
Cu: 0.7111 0.4223 0.3850  4 Zn 2.48-2.60
Cu: 0.2889 0.5777 0.6150  4 Zn 2.48-2.60

The distance to the lowest polymorph of the same formula comes out at 0.035 eV per atom. The formation energy is -301 meV/atom. Its total magnetic moment is 0.0 μB per formula unit.

***

Entry 2:
Here is a geometry-optimized Tm2Zn2Cu15 structure from Alexandria. Energies are from GGA-PBE.

abc: 6.4753 6.4753 6.4753
angles: 82.60 82.60 82.60
With the nearest neighbours (Å) after each atom.
Fractional positions:
Tm: 0.3477 0.3477 0.3477  18 Cu 3.00-3.36, 1 Zn 3.09
Tm: 0.6523 0.6523 0.6523  18 Cu 3.00-3.36, 1 Zn 3.09
Zn: 0.1022 0.1022 0.1022  1 Zn 2.57, 12 Cu 2.60-2.88
Zn: 0.8978 0.8978 0.8978  1 Zn 2.57, 12 Cu 2.60-2.88
Cu: 0.5000 0.0000 0.0000  8 Cu 2.47-2.48, 2 Zn 2.60
Cu: 0.0000 0.0000 0.5000  8 Cu 2.47-2.48, 2 Zn 2.60
Cu: 0.0000 0.5000 0.0000  8 Cu 2.47-2.48, 2 Zn 2.60
Cu: 0.0000 0.6987 0.3013  8 Cu 2.47-2.62
Cu: 0.6987 0.3013 0.0000  8 Cu 2.47-2.62
Cu: 0.3013 0.0000 0.6987  8 Cu 2.47-2.62
Cu: 0.3013 0.6987 0.0000  8 Cu 2.47-2.62
Cu: 0.6987 0.0000 0.3013  8 Cu 2.47-2.62
Cu: 0.0000 0.3013 0.6987  8 Cu 2.47-2.62
Cu: 0.1563 0.6521 0.6521  8 Cu 2.47-2.62, 1 Zn 2.67
Cu: 0.6521 0.6521 0.1563  8 Cu 2.47-2.62, 1 Zn 2.67
Cu: 0.6521 0.1563 0.6521  8 Cu 2.47-2.62, 1 Zn 2.67
Cu: 0.8437 0.3479 0.3479  8 Cu 2.47-2.62, 1 Zn 2.67
Cu: 0.3479 0.3479 0.8437  8 Cu 2.47-2.62, 1 Zn 2.67
Cu: 0.3479 0.8437 0.3479  8 Cu 2.47-2.62, 1 Zn 2.67

The formation energy is -148 meV/atom. Its total magnetic moment is 0.0 μB per formula unit.

***

Entry 3:
Here is a geometry-optimized TmZn4Cu4 structure from Alexandria. Energies are from GGA-PBE.

abc: 4.3439 8.0000 8.0000
angles: 90.00 90.00 90.00
With the nearest neighbours (Å) after each atom.
Fractional positions:
Tm: 0.0000 0.0000 0.0000  8 Cu 2.94, 4 Zn 3.01
Tm: 0.5000 0.5000 0.5000  8 Cu 2.94, 4 Zn 3.01
Zn: 0.4993 0.4163 0.8671  4 Cu 2.43-2.61, 1 Zn 2.51
Zn: 0.9993 0.6329 0.9163  4 Cu 2.43-2.61, 1 Zn 2.51
Zn: 0.4993 0.5837 0.1329  4 Cu 2.43-2.61, 1 Zn 2.51
Zn: 0.0007 0.0837 0.6329  4 Cu 2.43-2.61, 1 Zn 2.51
Zn: 0.5007 0.8671 0.5837  4 Cu 2.43-2.61, 1 Zn 2.51
Zn: 0.0007 0.9163 0.3671  4 Cu 2.43-2.61, 1 Zn 2.51
Zn: 0.9993 0.3671 0.0837  4 Cu 2.43-2.61, 1 Zn 2.51
Zn: 0.5007 0.1329 0.4163  4 Cu 2.43-2.61, 1 Zn 2.51
Cu: 0.5005 0.8767 0.2143  4 Zn 2.43-2.61
Cu: 0.5005 0.1233 0.7857  4 Zn 2.43-2.61
Cu: 0.0005 0.7143 0.6233  4 Zn 2.43-2.61
Cu: 0.9995 0.3767 0.7143  4 Zn 2.43-2.61
Cu: 0.9995 0.6233 0.2857  4 Zn 2.43-2.61
Cu: 0.4995 0.2143 0.1233  4 Zn 2.43-2.61
Cu: 0.4995 0.7857 0.8767  4 Zn 2.43-2.61
Cu: 0.0005 0.2857 0.3767  4 Zn 2.43-2.61

The formation energy is -46 meV/atom. Its total magnetic moment is 0.0 μB per formula unit.

***

Entry 4:
Here is a geometry-optimized Tm2Zn16Cu structure from Alexandria. Energies are from GGA-PBE.

abc: 6.7472 6.7472 6.7472
angles: 82.61 82.61 82.61
With the nearest neighbours (Å) after each atom.
Fractional positions:
Tm: 0.6674 0.6674 0.6674  1 Cu 3.04, 15 Zn 3.15-3.33
Tm: 0.3354 0.3354 0.3354  19 Zn 3.09-3.43
Zn: 0.7039 0.9995 0.2952  8 Zn 2.56-2.76
Zn: 0.9995 0.2952 0.7039  8 Zn 2.56-2.76
Zn: 0.2952 0.7039 0.9995  8 Zn 2.56-2.76
Zn: 0.9995 0.7039 0.2952  8 Zn 2.56-2.76
Zn: 0.7039 0.2952 0.9995  8 Zn 2.56-2.76
Zn: 0.2952 0.9995 0.7039  8 Zn 2.56-2.76
Zn: 0.3549 0.8376 0.3549  8 Zn 2.53-2.76
Zn: 0.8376 0.3549 0.3549  8 Zn 2.53-2.76
Zn: 0.3549 0.3549 0.8376  8 Zn 2.53-2.76
Zn: 0.6479 0.1580 0.6479  8 Zn 2.53-2.74, 1 Cu 2.83
Zn: 0.1580 0.6479 0.6479  8 Zn 2.53-2.74, 1 Cu 2.83
Zn: 0.6479 0.6479 0.1580  8 Zn 2.53-2.74, 1 Cu 2.83
Zn: 0.9972 0.5053 0.9972  9 Zn 2.56-2.76, 1 Cu 2.68
Zn: 0.5053 0.9972 0.9972  9 Zn 2.56-2.76, 1 Cu 2.68
Zn: 0.9972 0.9972 0.5053  9 Zn 2.56-2.76, 1 Cu 2.68
Zn: 0.0995 0.0995 0.0995  1 Cu 2.62, 6 Zn 2.76-2.87
Cu: 0.8997 0.8997 0.8997  7 Zn 2.62-2.83

The formation energy is -210 meV/atom. Its total magnetic moment is 0.0 μB per formula unit.

***

Entry 5:
Here is a geometry-optimized TmZn2Cu3 structure from Alexandria. Energies are from GGA-PBE.

abc: 4.2544 4.2544 11.9546
angles: 90.00 90.00 120.00
With the nearest neighbours (Å) after each atom.
Fractional positions:
Tm: 0.0000 0.0000 0.2500  8 Cu 2.85-2.99, 6 Zn 3.18
Tm: 0.0000 0.0000 0.7500  8 Cu 2.85-2.99, 6 Zn 3.18
Zn: 0.6667 0.3333 0.4189  7 Cu 2.52-2.64
Zn: 0.3333 0.6667 0.5811  7 Cu 2.52-2.64
Zn: 0.3333 0.6667 0.9189  7 Cu 2.52-2.64
Zn: 0.6667 0.3333 0.0811  7 Cu 2.52-2.64
Cu: 0.0000 0.0000 0.5000  6 Zn 2.64, 6 Cu 2.91
Cu: 0.0000 0.0000 0.0000  6 Zn 2.64, 6 Cu 2.91
Cu: 0.6667 0.3333 0.6298  4 Zn 2.52
Cu: 0.3333 0.6667 0.1298  4 Zn 2.52
Cu: 0.6667 0.3333 0.8702  4 Zn 2.52
Cu: 0.3333 0.6667 0.3702  4 Zn 2.52

The formation energy is -207 meV/atom. Its total magnetic moment is 0.0 μB per formula unit.

***

Entry 6:
Here is a geometry-optimized Tm3Zn4Cu2 structure from Alexandria. Energies are from GGA-PBE.

abc: 4.3232 5.5935 8.1522
angles: 72.34 74.62 67.27
With the nearest neighbours (Å) after each atom.
Fractional positions:
Tm: 0.3237 0.6985 0.6540  4 Cu 3.00-3.17, 8 Zn 3.04-3.24
Tm: 0.0000 0.0000 0.0000  4 Cu 2.98, 8 Zn 2.99-3.10
Tm: 0.6763 0.3015 0.3460  4 Cu 3.00-3.17, 8 Zn 3.04-3.24
Zn: 0.2769 0.3859 0.0603  1 Cu 2.53, 2 Zn 2.54
Zn: 0.7231 0.6141 0.9397  1 Cu 2.53, 2 Zn 2.54
Zn: 0.0390 0.2963 0.6258  2 Cu 2.51, 1 Zn 2.54
Zn: 0.9610 0.7037 0.3742  2 Cu 2.51, 1 Zn 2.54
Cu: 0.4002 0.9318 0.2678  3 Zn 2.51-2.53
Cu: 0.5998 0.0682 0.7322  3 Zn 2.51-2.53

The distance to the lowest polymorph of the same formula comes out at 0.000 eV per atom. The formation energy is -336 meV/atom. Its total magnetic moment is 0.0 μB per formula unit.

***

Entry 7:
Here is a geometry-optimized Tm8ZnCu2 structure from Alexandria. Energies are from GGA-PBE.

abc: 5.3040 7.8872 7.8872
angles: 115.30 99.24 99.24
With the nearest neighbours (Å) after each atom.
Fractional positions:
Zn: 0.0073 0.0031 0.0031  4 Tm 3.05-3.09
Tm: 0.5971 0.3374 0.0885  2 Cu 2.81-2.95
Tm: 0.5971 0.0885 0.3374  2 Cu 2.81-2.95
Tm: 0.1921 0.3875 0.3875  2 Cu 3.06, 1 Zn 3.09, 4 Tm 3.23-3.38
Tm: 0.9994 0.2317 0.7739  2 Cu 2.84, 1 Zn 3.05
Tm: 0.9994 0.7739 0.2317  2 Cu 2.84, 1 Zn 3.05
Tm: 0.8068 0.6194 0.6194  2 Cu 3.06, 1 Zn 3.09, 4 Tm 3.23-3.38
Tm: 0.4007 0.9174 0.6686  2 Cu 2.81-2.95
Tm: 0.4007 0.6686 0.9174  2 Cu 2.81-2.95
Cu: 0.4996 0.6977 0.3088  8 Tm 2.81-3.06
Cu: 0.4996 0.3088 0.6977  8 Tm 2.81-3.06

The distance to the lowest polymorph of the same formula comes out at 0.139 eV per atom. The formation energy is -10 meV/atom. Its total magnetic moment is 0.0 μB per formula unit.

***

Entry 8:
Here is a geometry-optimized Tm2Zn5Cu3 structure from Alexandria. Energies are from GGA-PBE.

abc: 4.2906 6.6340 11.9580
angles: 90.00 100.33 90.00
With the nearest neighbours (Å) after each atom.
Fractional positions:
Tm: 0.4827 0.7706 0.9654  5 Cu 2.81-3.02, 6 Zn 2.99-3.12
Tm: 0.1752 0.7158 0.3504  4 Cu 2.90-3.08, 10 Zn 2.99-3.22
Tm: 0.8248 0.2158 0.6496  4 Cu 2.90-3.08, 10 Zn 2.99-3.22
Tm: 0.5173 0.2706 0.0346  5 Cu 2.81-3.02, 6 Zn 2.99-3.12
Zn: 0.3940 0.4430 0.7880  3 Cu 2.50-2.60, 1 Zn 2.55
Zn: 0.2869 0.5004 0.5739  3 Cu 2.46-2.51, 2 Zn 2.55-2.57
Zn: 0.7131 0.0004 0.4261  3 Cu 2.46-2.51, 2 Zn 2.55-2.57
Zn: 0.1256 0.2632 0.2511  2 Cu 2.54-2.57, 1 Zn 2.70
Zn: 0.2980 0.8851 0.5959  4 Cu 2.49-2.61, 1 Zn 2.57
Zn: 0.9479 0.0755 0.8958  4 Cu 2.51-2.65, 1 Zn 2.70
Zn: 0.7020 0.3851 0.4041  4 Cu 2.49-2.61, 1 Zn 2.57
Zn: 0.8744 0.7632 0.7489  2 Cu 2.54-2.57, 1 Zn 2.70
Zn: 0.0521 0.5755 0.1042  4 Cu 2.51-2.65, 1 Zn 2.70
Zn: 0.6060 0.9430 0.2120  3 Cu 2.50-2.60, 1 Zn 2.55
Cu: 0.7688 0.6860 0.5376  7 Zn 2.46-2.61
Cu: 0.6069 0.5506 0.2139  4 Zn 2.49-2.60
Cu: 0.0525 0.9746 0.1050  5 Zn 2.50-2.65
Cu: 0.2312 0.1860 0.4624  7 Zn 2.46-2.61
Cu: 0.9475 0.4746 0.8950  5 Zn 2.50-2.65
Cu: 0.3931 0.0506 0.7861  4 Zn 2.49-2.60

The formation energy is -250 meV/atom. Its total magnetic moment is 0.0 μB per formula unit.